VASP calculation (PBE) on a relaxed structure of SrAsIr2Pt.

Lattice parameters (Å, degrees): 4.9569 5.1405 4.9569 90.00 90.00 90.00
With the nearest neighbours (Å) after each atom.
Positions (direct):
Sr 0.0000 0.0000 0.0000  4 Ir 2.48, 2 Pt 2.57
As 0.5000 0.5000 0.5000  4 Pt 3.51, 8 Ir 3.57
Ir 0.5000 0.0000 0.0000  2 Sr 2.48
Ir 0.0000 0.0000 0.5000  2 Sr 2.48
Pt 0.0000 0.5000 0.0000  2 Sr 2.57

Output
Final energy ... -3.613 eV per atom
Formation energy ... 2.406 eV/atom
Spin magnetization ... 0.0 μB per cell
DOS at the Fermi energy ... 4.73 states/eV/cell